# LiTl SCAN single point on PBEsol structure
# - total energy (eV per atom) = -37.577
# - energy of formation (kJ per mole of atoms) = -19.6
# - calculated density (g cm⁻³) = 7.97
data_LiTl
_symmetry_space_group_name_H-M 'R -3 m'
_symmetry_Int_Tables_number 166
_symmetry_space_group_name_Hall '-R 3 2"'
_cell_length_a 3.3062
_cell_length_b 3.3062
_cell_length_c 13.9467
_cell_angle_alpha 90.00
_cell_angle_beta 90.00
_cell_angle_gamma 120.00
loop_
_atom_site_label
_atom_site_fract_x
_atom_site_fract_y
_atom_site_fract_z
Li1 0.0000 0.0000 0.0000
Tl1 0.0000 0.0000 0.5000